4
Lattice="3.7203 0.0000 0.0000 0.0000 3.7203 0.0000 0.0000 0.0000 5.8296" Properties=species:S:1:pos:R:3 comment="LaCr2Cl | the Alexandria database | PBE | optimized geometry" de_polymorph_mev_per_atom=822.5 e_form_raw_ev_per_fu=2.8 dos_at_fermi_per_ev_atom=0.93 sg="P4/mmm (123)" pbc="T T T"
Cr 0.0000 0.0000 5.3135
Cr 0.0000 0.0000 3.4309
Cl 1.8602 1.8602 4.3722
La 1.8602 1.8602 1.4574